## w
The following is a DFT calculation (PBEsol) of a relaxed structure of LaZrRh.

Cell lengths 4.554, 4.554, 4.554 Å; angles 60.00, 60.00, 60.00 degrees
Atoms (fractional coordinates):
La1 0.000 0.000 0.000
Zr1 0.250 0.250 0.250
Rh1 0.750 0.750 0.750

Results
ρ in kg/m³: 8279
Total magnetic moment in μB per cell: 0.00
DOS(E_F) in states/eV/atom: 1.09

***

## x
The following is a DFT calculation (PBEsol) of a relaxed structure of LaZrRh.

Cell lengths 3.774, 3.774, 6.063 Å; angles 90.00, 90.00, 120.00 degrees
Atoms (fractional coordinates):
La1 0.000 0.000 0.000
Zr1 0.667 0.333 0.467
Rh1 0.333 0.667 0.700

Results
ρ in kg/m³: 7395
Total magnetic moment in μB per cell: 0.00
DOS(E_F) in states/eV/atom: 1.14

***

Most stable pick: x. Distance to second place: 691 meV/atom.

***

## w
The following is a DFT calculation (PBEsol) of a relaxed structure of LaSc2Ru2.

Cell lengths 6.538, 6.538, 6.538 Å; angles 142.08, 142.08, 54.70 degrees
Atoms (fractional coordinates):
La1 0.000 0.000 0.000
Sc1 0.250 0.750 0.500
Sc2 0.750 0.250 0.500
Ru1 0.392 0.392 0.000
Ru2 0.608 0.608 0.000

Results
ρ in kg/m³: 6829
Total magnetic moment in μB per cell: 0.00
DOS(E_F) in states/eV/atom: 0.58

***

## x
The following is a DFT calculation (PBEsol) of a relaxed structure of LaSc2Ru2.

Cell lengths 7.715, 7.715, 3.237 Å; angles 90.00, 90.00, 90.00 degrees
Atoms (fractional coordinates):
La1 0.000 0.000 0.000
La2 0.500 0.500 0.000
Sc1 0.139 0.361 0.500
Sc2 0.361 0.861 0.500
Sc3 0.639 0.139 0.500
Sc4 0.861 0.639 0.500
Ru1 0.155 0.655 0.000
Ru2 0.345 0.155 0.000
Ru3 0.655 0.845 0.000
Ru4 0.845 0.345 0.000

Results
ρ in kg/m³: 7428
Total magnetic moment in μB per cell: 0.00
DOS(E_F) in states/eV/atom: 0.51

***

Most stable pick: x. Distance to second place: 45 meV/atom.

***

## w
The following is a DFT calculation (PBEsol) of a relaxed structure of Sr2LaRu.

Cell lengths 5.376, 5.376, 5.376 Å; angles 60.00, 60.00, 60.00 degrees
Atoms (fractional coordinates):
Sr1 0.000 0.000 0.000
Sr2 0.250 0.250 0.250
La1 0.750 0.750 0.750
Ru1 0.500 0.500 0.500

Results
ρ in kg/m³: 6276
Total magnetic moment in μB per cell: 0.00
DOS(E_F) in states/eV/atom: 0.96

***

## x
The following is a DFT calculation (PBEsol) of a relaxed structure of Sr2LaRu.

Cell lengths 3.586, 3.709, 10.155 Å; angles 90.00, 94.72, 90.00 degrees
Atoms (fractional coordinates):
Sr1 0.000 0.000 0.000
Sr2 0.418 0.500 0.655
La1 0.556 0.500 0.319
Ru1 0.910 0.000 0.458

Results
ρ in kg/m³: 5122
Total magnetic moment in μB per cell: 0.00
DOS(E_F) in states/eV/atom: 0.90

***

Most stable pick: x. Distance to second place: 342 meV/atom.

***

## w
The following is a DFT calculation (PBEsol) of a relaxed structure of SrLa2Ru.

Cell lengths 3.548, 3.548, 10.240 Å; angles 90.00, 90.00, 90.00 degrees
Atoms (fractional coordinates):
Sr1 0.000 0.000 0.000
La1 0.500 0.500 0.338
La2 0.500 0.500 0.662
Ru1 0.000 0.000 0.500

Results
ρ in kg/m³: 6009
Total magnetic moment in μB per cell: 0.00
DOS(E_F) in states/eV/atom: 1.03

***

## x
The following is a DFT calculation (PBEsol) of a relaxed structure of SrLa2Ru.

Cell lengths 10.046, 10.046, 10.046 Å; angles 23.64, 23.64, 23.64 degrees
Atoms (fractional coordinates):
Sr1 0.000 0.000 0.000
La1 0.217 0.217 0.217
La2 0.783 0.783 0.783
Ru1 0.500 0.500 0.500

Results
ρ in kg/m³: 5412
Total magnetic moment in μB per cell: 0.00
DOS(E_F) in states/eV/atom: 0.45

***

Most stable pick: x. Distance to second place: 85 meV/atom.

***

## w
The following is a DFT calculation (PBEsol) of a relaxed structure of La2TlRu.

Cell lengths 3.899, 6.155, 6.155 Å; angles 46.04, 90.00, 90.00 degrees
Atoms (fractional coordinates):
La1 0.000 0.000 0.000
La2 0.500 0.308 0.308
Tl1 0.500 0.605 0.605
Ru1 0.000 0.791 0.791

Results
ρ in kg/m³: 9110
Total magnetic moment in μB per cell: 0.00
DOS(E_F) in states/eV/atom: 0.65

***

## x
The following is a DFT calculation (PBEsol) of a relaxed structure of La2TlRu.

Cell lengths 8.589, 8.589, 8.589 Å; angles 26.95, 26.95, 26.95 degrees
Atoms (fractional coordinates):
La1 0.230 0.230 0.230
La2 0.770 0.770 0.770
Tl1 0.000 0.000 0.000
Ru1 0.500 0.500 0.500

Results
ρ in kg/m³: 8439
Total magnetic moment in μB per cell: 0.00
DOS(E_F) in states/eV/atom: 0.76

***

Most stable pick: w. Distance to second place: 84 meV/atom.

***

## w
The following is a DFT calculation (PBEsol) of a relaxed structure of LaRuW2.

Cell lengths 2.858, 4.194, 6.296 Å; angles 90.00, 97.64, 90.00 degrees
Atoms (fractional coordinates):
La1 0.000 0.000 0.000
Ru1 0.786 0.500 0.295
W1 0.222 0.500 0.677
W2 0.477 0.000 0.484

Results
ρ in kg/m³: 13490
Total magnetic moment in μB per cell: 0.00
DOS(E_F) in states/eV/atom: 0.91

***

## x
The following is a DFT calculation (PBEsol) of a relaxed structure of LaRuW2.

Cell lengths 5.490, 5.490, 5.490 Å; angles 147.20, 124.20, 66.26 degrees
Atoms (fractional coordinates):
La1 0.000 0.000 0.000
Ru1 0.733 0.233 0.500
W1 0.278 0.778 0.500
W2 0.504 0.504 0.000

Results
ρ in kg/m³: 13779
Total magnetic moment in μB per cell: 0.00
DOS(E_F) in states/eV/atom: 1.11

***

Most stable pick: w. Distance to second place: 200 meV/atom.